Record 1
The following is a PBE calculation of a geometry-optimized Sr2NdP structure, from Alexandria via LeMat-Bulk.

```
4
Lattice="4.145 0.000 0.000 2.073 3.590 0.000 2.073 1.197 11.221" Properties=species:S:1:pos:R:3 pbc="T T T"
Sr 2.073 1.197 7.279
Sr 6.218 3.590 3.942
Nd 0.000 0.000 0.000
P 4.145 2.393 5.611
```

Space-group type ... No. 166
Spin magnetization ... 0.00 μB/cell
Volume ... 41.75 Å³ per atom
DFT formation energy ... -1.18 eV per formula unit
Total DFT energy (no corrections) ... -3.68 eV per atom

---

Record 2
The following is a PBE calculation of a geometry-optimized HfZrCo structure, from Alexandria via LeMat-Bulk.

```
12
Lattice="5.645 -0.253 -0.201 1.547 6.249 -0.501 1.542 0.788 6.220" Properties=species:S:1:pos:R:3 pbc="T T T"
Zr 3.818 4.809 5.310
Zr 6.457 5.489 3.074
Zr 4.915 1.975 0.208
Zr 2.276 1.295 2.444
Co 2.122 3.339 4.110
Co 2.125 6.073 0.750
Co 6.611 3.445 1.408
Co 6.608 0.711 4.768
Hf 5.309 2.455 3.393
Hf 5.312 5.192 0.037
Hf 3.425 4.329 2.125
Hf 3.421 1.592 5.481
```

Space-group type ... No. 2
Spin magnetization ... 0.00 μB/cell
Volume ... 18.83 Å³ per atom
DFT formation energy ... -0.53 eV per formula unit
Total DFT energy (no corrections) ... -8.71 eV per atom

---

Record 3
The following is a PBE calculation of a geometry-optimized TmTiAgAu structure, from Alexandria via LeMat-Bulk.

```
4
Lattice="4.854 0.000 0.000 2.427 4.204 0.000 2.427 1.401 3.963" Properties=species:S:1:pos:R:3 pbc="T T T"
Tm 7.281 4.204 2.972
Au 4.854 2.802 1.982
Ag 0.000 0.000 0.000
Ti 2.427 1.401 0.991
```

Space-group type ... No. 216
Spin magnetization ... 1.54 μB/cell
Volume ... 20.22 Å³ per atom
DFT formation energy ... -1.18 eV per formula unit
Total DFT energy (no corrections) ... -4.92 eV per atom

---

Record 4
The following is a PBE calculation of a geometry-optimized Mg2Zn2Au5 structure, from Alexandria via LeMat-Bulk.

```
18
Lattice="-1.078 -1.861 -6.652 5.237 -2.382 -0.182 -5.285 -5.120 5.963" Properties=species:S:1:pos:R:3 pbc="T T T"
Mg 0.191 -0.087 -0.007
Mg 2.270 -2.208 -3.423
Mg -1.343 -3.624 1.591
Mg 0.632 -5.928 -2.476
Zn 2.301 -2.359 -0.109
Zn -3.073 -7.166 -0.774
Zn -0.740 -1.897 -2.626
Zn -0.031 -7.627 1.743
Au -0.699 -5.837 3.604
Au 2.604 -4.905 -4.580
Au -3.324 -4.656 3.658
Au -0.009 -3.704 -4.452
Au 2.819 -4.705 -0.949
Au -0.918 -6.036 -0.027
Au 0.193 -3.528 -0.909
Au -3.528 -4.831 0.114
Au 1.267 -4.787 1.570
Au -2.019 -4.747 -2.454
```

Space-group type ... No. 46
Spin magnetization ... 0.00 μB/cell
Volume ... 18.60 Å³ per atom
DFT formation energy ... -2.36 eV per formula unit
Total DFT energy (no corrections) ... -2.72 eV per atom

---

Record 5
The following is a PBE calculation of a geometry-optimized NdPd7Pb3 structure, from Alexandria via LeMat-Bulk.

```
11
Lattice="-2.182 -3.883 -3.681 1.373 -1.531 7.334 -4.130 5.632 3.040" Properties=species:S:1:pos:R:3 pbc="T T T"
Nd -2.469 0.109 3.346
Pd -1.264 -0.531 0.735
Pd -3.057 1.964 1.027
Pd -4.795 2.045 3.391
Pd -0.143 -1.828 3.301
Pd -1.378 2.050 5.187
Pd -1.882 -1.746 5.665
Pd -3.674 0.748 5.957
Pb 0.105 0.120 6.344
Pb -1.091 -1.942 -1.841
Pb -2.862 3.981 4.029
```

Space-group type ... No. 12
Spin magnetization ... 0.00 μB/cell
Volume ... 20.81 Å³ per atom
DFT formation energy ... -3.09 eV per formula unit
Total DFT energy (no corrections) ... -5.03 eV per atom

---

Record 6
The following is a PBE calculation of a geometry-optimized Fe2MoPd2 structure, from Alexandria via LeMat-Bulk.

```
10
Lattice="6.144 0.000 0.000 0.000 6.144 0.000 0.000 0.000 3.795" Properties=species:S:1:pos:R:3 pbc="T T T"
Mo 0.000 0.000 0.000
Mo 3.072 3.072 0.000
Fe 2.269 5.341 0.000
Fe 5.341 3.876 0.000
Fe 3.876 0.803 0.000
Fe 0.803 2.269 0.000
Pd 1.026 4.099 1.897
Pd 4.099 5.118 1.897
Pd 5.118 2.046 1.897
Pd 2.046 1.026 1.897
```

Space-group type ... No. 127
Spin magnetization ... 6.50 μB/cell
Volume ... 14.33 Å³ per atom
DFT formation energy ... 1.34 eV per formula unit
Total DFT energy (no corrections) ... -7.36 eV per atom

---

Record 7
The following is a PBE calculation of a geometry-optimized In2TcPCl structure, from Alexandria via LeMat-Bulk.

```
5
Lattice="5.368 0.000 0.000 0.000 4.595 0.000 0.000 0.000 5.368" Properties=species:S:1:pos:R:3 pbc="T T T"
P 0.000 2.297 0.000
Cl 0.000 0.000 0.000
Tc 2.684 2.297 2.684
In 0.000 0.000 2.684
In 2.684 0.000 0.000
```

Space-group type ... No. 123
Spin magnetization ... 3.87 μB/cell
Energy relative to the elements, uncorrected ... 1213 meV per atom
Volume ... 26.48 Å³ per atom
Total DFT energy (no corrections) ... -3.41 eV per atom

---

Record 8
The following is a PBE calculation of a geometry-optimized Tb2ThRu structure, from Alexandria via LeMat-Bulk.

```
4
Lattice="3.441 0.000 0.000 1.721 2.980 0.000 1.721 0.993 10.839" Properties=species:S:1:pos:R:3 pbc="T T T"
Ru 3.441 1.987 5.420
Tb 1.721 0.993 7.388
Tb 5.162 2.980 3.451
Th 0.000 0.000 0.000
```

Space-group type ... No. 166
Spin magnetization ... 0.00 μB/cell
Volume ... 27.79 Å³ per atom
DFT formation energy ... 0.58 eV per formula unit
Total DFT energy (no corrections) ... -6.34 eV per atom

---

Record 9
The following is a PBE calculation of a geometry-optimized ZrTc2TeC structure, from Alexandria via LeMat-Bulk.

```
5
Lattice="4.097 0.000 0.000 0.000 4.921 0.000 0.000 0.000 4.097" Properties=species:S:1:pos:R:3 pbc="T T T"
C 0.000 0.000 0.000
Te 0.000 2.460 0.000
Tc 0.000 0.000 2.048
Tc 2.048 0.000 0.000
Zr 2.048 2.460 2.048
```

Space-group type ... No. 123
Spin magnetization ... 1.13 μB/cell
Energy relative to the elements, uncorrected ... 396 meV per atom
Volume ... 16.52 Å³ per atom
Total DFT energy (no corrections) ... -7.93 eV per atom

---

Record 10
The following is a PBE calculation of a geometry-optimized TbNiI structure, from Alexandria via LeMat-Bulk.

```
6
Lattice="-3.272 0.508 -2.171 0.142 -0.448 -3.929 -5.024 -11.989 1.155" Properties=species:S:1:pos:R:3 pbc="T T T"
Tb -4.191 -3.583 -1.743
Tb -3.963 -8.345 -3.201
Ni -4.780 -6.226 -1.474
Ni -3.374 -5.702 -3.470
I -1.492 -1.984 -1.827
I -6.662 -9.945 -3.118
```

Space-group type ... No. 12
Spin magnetization ... 0.00 μB/cell
Energy relative to the elements, uncorrected ... -614 meV per atom
Volume ... 29.05 Å³ per atom
Total DFT energy (no corrections) ... -4.60 eV per atom

---

Record 11
The following is a PBE calculation of a geometry-optimized Li7HgBi4 structure, from Alexandria via LeMat-Bulk.

```
12
Lattice="-0.370 -5.226 -0.500 5.642 -4.466 0.756 -1.535 -2.427 8.412" Properties=species:S:1:pos:R:3 pbc="T T T"
Li 1.412 -8.399 7.583
Li 2.325 -3.720 1.085
Li -0.125 -2.702 5.726
Li 3.863 -9.417 2.942
Li 3.003 -6.837 4.960
Li -0.185 -2.613 -0.250
Li 0.735 -5.282 3.708
Hg 0.000 0.000 0.000
Bi 2.877 -6.540 2.050
Bi 0.861 -5.578 6.618
Bi 3.536 -9.579 5.938
Bi 0.202 -2.540 2.731
```

Space-group type ... No. 2
Spin magnetization ... 0.00 μB/cell
Volume ... 23.13 Å³ per atom
DFT formation energy ... -4.43 eV per formula unit
Total DFT energy (no corrections) ... -2.80 eV per atom

---

Record 12
The following is a PBE calculation of a geometry-optimized TbEr2TmIn4 structure, from Alexandria via LeMat-Bulk.

```
8
Lattice="5.285 0.000 0.000 2.642 4.577 0.000 2.642 1.526 8.655" Properties=species:S:1:pos:R:3 pbc="T T T"
Tb 0.000 0.000 0.000
Er 7.927 4.577 6.481
Er 2.642 1.526 2.174
Tm 5.285 3.051 4.327
In 5.284 3.051 7.555
In 7.927 4.577 3.263
In 2.642 1.526 5.392
In 5.285 3.051 1.100
```

Space-group type ... No. 166
Spin magnetization ... 0.00 μB/cell
Volume ... 26.16 Å³ per atom
DFT formation energy ... -3.55 eV per formula unit
Total DFT energy (no corrections) ... -4.09 eV per atom

---

Record 13
The following is a PBE calculation of a geometry-optimized TlZnMo structure, from Alexandria via LeMat-Bulk.

```
3
Lattice="4.432 0.000 0.000 2.216 3.839 0.000 2.216 1.280 3.619" Properties=species:S:1:pos:R:3 pbc="T T T"
Mo 0.000 0.000 0.000
Tl 4.432 2.559 1.810
Zn 6.649 3.839 2.714
```

Space-group type ... No. 216
Spin magnetization ... 2.48 μB/cell
Volume ... 20.53 Å³ per atom
DFT formation energy ... 2.71 eV per formula unit
Total DFT energy (no corrections) ... -3.92 eV per atom

---

Record 14
The following is a PBE calculation of a geometry-optimized La2PmBi structure, from Alexandria via LeMat-Bulk.

```
8
Lattice="-0.229 -0.903 -4.632 3.855 -2.671 0.330 -6.850 -9.322 4.569" Properties=species:S:1:pos:R:3 pbc="T T T"
La -0.106 -2.465 -1.963
La -3.118 -10.431 2.230
La 2.054 -3.168 0.598
La -5.279 -9.728 -0.331
Pm 0.051 -6.281 -1.191
Pm -3.275 -6.615 1.458
Bi -1.425 -4.021 0.843
Bi -1.800 -8.875 -0.576
```

Space-group type ... No. 11
Spin magnetization ... 0.00 μB/cell
Volume ... 33.90 Å³ per atom
DFT formation energy ... -1.82 eV per formula unit
Total DFT energy (no corrections) ... -5.08 eV per atom

---

Record 15
The following is a PBE calculation of a geometry-optimized Ba12Au3O5 structure, from Alexandria via LeMat-Bulk.

```
80
Lattice="-14.921 2.286 2.874 3.834 -14.350 3.935 8.375 9.962 8.169" Properties=species:S:1:pos:R:3 pbc="T T T"
Au -8.706 -2.422 4.652
Au -9.133 -7.517 6.487
Au 2.514 -3.679 9.135
Au -0.110 2.514 4.274
Au -10.483 2.697 5.049
Au -1.105 -5.621 5.579
Au -1.607 3.519 9.399
Au 7.771 -4.799 9.929
Au -2.602 -4.616 10.704
Au -5.227 1.577 5.843
Au 6.421 5.415 8.491
Au 5.994 0.319 10.326
O 1.666 -2.605 3.877
O 1.917 -7.175 1.967
O 0.000 0.000 0.000
O -3.590 -1.485 3.083
O -3.273 6.124 5.522
O -5.543 -6.032 3.404
O 4.151 -6.741 6.374
O -3.384 8.638 9.796
O -5.654 -3.519 7.678
O 1.165 6.535 7.697
O -3.877 -8.637 7.282
O -1.356 -1.051 7.489
O -7.460 1.143 1.437
O 4.187 4.981 4.085
O 2.942 1.416 7.300
O 0.672 -10.740 5.183
O 6.104 -2.194 6.052
O -6.863 4.639 8.604
O 0.878 -0.617 11.896
O -4.378 0.503 11.101
Ba -9.844 0.071 2.604
Ba 0.585 -2.712 6.199
Ba -10.693 -0.240 6.790
Ba -5.954 -0.505 3.228
Ba -0.276 -1.900 10.000
Ba -10.842 -4.561 6.688
Ba 1.845 -6.599 7.483
Ba 2.994 -11.778 4.867
Ba 0.517 -5.940 11.178
Ba -6.670 -4.924 5.791
Ba -6.894 -1.303 7.329
Ba -8.612 -10.865 6.016
Ba 5.248 -4.620 7.306
Ba -3.495 -4.034 3.332
Ba 5.433 -8.900 6.893
Ba -0.758 5.260 6.579
Ba 1.154 -0.455 2.580
Ba -3.751 -7.683 4.906
Ba -6.150 -8.316 8.421
Ba 0.699 -4.727 2.814
Ba 4.775 -5.265 11.513
Ba -3.100 -3.319 7.579
Ba -5.951 -4.530 10.015
Ba -3.042 6.431 11.054
Ba 0.388 1.216 7.400
Ba 3.239 2.427 4.963
Ba 0.330 -8.533 3.924
Ba 3.438 6.214 6.557
Ba -7.487 3.163 3.465
Ba -3.411 2.625 12.164
Ba 1.039 5.580 10.072
Ba -1.954 -7.362 8.399
Ba -3.866 -1.647 12.398
Ba -8.145 6.797 8.085
Ba -7.960 2.518 7.672
Ba 5.899 8.763 8.962
Ba 0.783 1.932 11.646
Ba -3.229 3.838 3.800
Ba 3.958 2.821 9.187
Ba 4.182 -0.799 7.649
Ba -5.706 9.676 10.111
Ba -4.557 4.496 7.496
Ba 3.242 -1.598 11.750
Ba 8.130 2.458 8.290
Ba -2.436 -0.202 4.978
Ba 7.981 -1.862 8.188
Ba -3.297 0.610 8.780
Ba 7.132 -2.173 12.374
```

Space-group type ... No. 230
Spin magnetization ... 0.01 μB/cell
Energy relative to the elements, uncorrected ... -1378 meV per atom
Volume ... 34.91 Å³ per atom
Total DFT energy (no corrections) ... -4.26 eV per atom

---

Record 16
The following is a PBE calculation of a geometry-optimized RbCaScCl2 structure, from Alexandria via LeMat-Bulk.

```
5
Lattice="-3.789 3.703 -0.506 -4.197 -5.241 -6.925 -2.933 -2.500 3.670" Properties=species:S:1:pos:R:3 pbc="T T T"
Sc -5.459 -2.019 -1.881
Ca 0.000 0.000 0.000
Rb -2.098 -2.621 -3.462
Cl -1.467 -1.250 1.835
Cl -1.894 1.851 -0.253
```

Space-group type ... No. 123
Spin magnetization ... 1.94 μB/cell
Energy relative to the elements, uncorrected ... -540 meV per atom
Volume ... 54.63 Å³ per atom
Total DFT energy (no corrections) ... -3.14 eV per atom

---

Record 17
The following is a PBE calculation of a geometry-optimized Dy6YCd structure, from Alexandria via LeMat-Bulk.

```
8
Lattice="-2.913 0.815 -8.736 1.129 -6.136 -5.846 -3.963 -3.013 -3.852" Properties=species:S:1:pos:R:3 pbc="T T T"
Dy -2.587 -4.989 -5.877
Dy -4.025 -7.472 -15.054
Dy -1.995 -1.537 -6.866
Dy -1.722 -0.863 -3.380
Dy -3.160 -3.346 -12.558
Dy -3.751 -6.798 -11.569
Y -2.873 -4.167 -9.217
Cd 0.000 0.000 0.000
```

Space-group type ... No. 148
Spin magnetization ... 0.00 μB/cell
Volume ... 30.88 Å³ per atom
DFT formation energy ... 0.42 eV per formula unit
Total DFT energy (no corrections) ... -4.32 eV per atom

---

Record 18
The following is a PBE calculation of a geometry-optimized CePrCoRu structure, from Alexandria via LeMat-Bulk.

```
4
Lattice="-1.236 -4.286 -2.063 1.816 -4.203 1.788 -2.940 -3.124 2.398" Properties=species:S:1:pos:R:3 pbc="T T T"
Pr -1.180 -5.807 1.061
Ru -0.590 -2.903 0.531
Co -1.770 -8.710 1.592
Ce 0.000 0.000 0.000
```

Space-group type ... No. 216
Spin magnetization ... 0.52 μB/cell
Volume ... 20.99 Å³ per atom
DFT formation energy ... -0.28 eV per formula unit
Total DFT energy (no corrections) ... -6.84 eV per atom

---

Record 19
The following is a PBE calculation of a geometry-optimized Li12Zn3Ag structure, from Alexandria via LeMat-Bulk.

```
16
Lattice="-1.071 2.504 3.038 -0.857 -3.221 2.353 15.094 -0.082 5.389" Properties=species:S:1:pos:R:3 pbc="T T T"
Li -0.964 -0.359 2.695
Li 2.835 -0.379 4.052
Li 6.583 -0.399 5.390
Li 10.331 -0.420 6.728
Li 1.372 1.242 2.200
Li 5.145 1.221 3.547
Li 8.878 1.201 4.880
Li 12.651 1.181 6.227
Li 1.479 -1.621 1.858
Li 5.252 -1.641 3.205
Li 8.985 -1.662 4.537
Li 12.758 -1.682 5.884
Zn 3.799 -0.021 1.356
Zn 7.547 -0.041 2.695
Zn 11.295 -0.061 4.033
Ag 0.000 0.000 0.000
```

Space-group type ... No. 123
Spin magnetization ... 0.00 μB/cell
Volume ... 16.67 Å³ per atom
DFT formation energy ... -1.57 eV per formula unit
Total DFT energy (no corrections) ... -1.95 eV per atom

---

Record 20
The following is a PBE calculation of a geometry-optimized BaTe2AuBr structure, from Alexandria via LeMat-Bulk.

```
5
Lattice="5.674 0.000 0.000 0.000 6.153 0.000 0.000 0.000 5.674" Properties=species:S:1:pos:R:3 pbc="T T T"
Te 0.000 0.000 2.837
Te 2.837 0.000 0.000
Au 2.837 3.076 2.837
Ba 0.000 3.076 0.000
Br 0.000 0.000 0.000
```

Space-group type ... No. 123
Spin magnetization ... 0.00 μB/cell
Energy relative to the elements, uncorrected ... -2 meV per atom
Volume ... 39.62 Å³ per atom
Total DFT energy (no corrections) ... -2.63 eV per atom

---

Record 21
The following is a PBE calculation of a geometry-optimized Cd5Sn2Hg5 structure, from Alexandria via LeMat-Bulk.

```
12
Lattice="4.154 0.000 0.873 1.811 7.182 1.704 0.039 0.506 10.133" Properties=species:S:1:pos:R:3 pbc="T T T"
Cd 3.002 3.844 6.355
Cd 1.971 2.408 0.941
Cd 3.382 7.136 4.546
Cd 2.622 0.552 8.164
Cd 4.032 5.279 11.770
Sn 4.595 2.891 9.093
Sn 1.408 4.796 3.617
Hg 4.989 6.242 7.219
Hg 2.433 5.394 9.062
Hg 3.571 2.294 3.648
Hg 1.015 1.446 5.491
Hg 0.000 0.000 0.000
```

Space-group type ... No. 12
Spin magnetization ... 0.00 μB/cell
Volume ... 24.94 Å³ per atom
DFT formation energy ... 0.54 eV per formula unit
Total DFT energy (no corrections) ... -1.13 eV per atom